#i
The following is a GGA-PBE calculation of an optimized crystal structure of Tl4Cu, from the Alexandria database.

```
Tl4Cu
1.0
-3.7708 3.7708 2.3823
3.7708 -3.7708 2.3823
3.7708 3.7708 -2.3823
Tl Cu
4 1
Direct
0.7907 0.3937 0.1844
0.3937 0.2093 0.6030
0.2093 0.6063 0.8156
0.6063 0.7907 0.3970
0.0000 0.0000 0.0000
```

The magnetization is 0.0 μB per formula unit. The symmetry is I4/m (87). The density of states at the Fermi level comes out at 2.03 states/eV per cell.



#ii
The following is a GGA-PBE calculation of an optimized crystal structure of Tl4Cu, from the Alexandria database.

```
Tl4Cu
1.0
5.3089 0.0000 0.0000
0.0000 5.3089 0.0000
0.0000 0.0000 5.3089
Tl Cu
4 1
Direct
0.0000 0.0000 0.0000
0.5000 0.0000 0.5000
0.0000 0.5000 0.5000
0.5000 0.5000 0.0000
0.5000 0.5000 0.5000
```

The magnetization is 0.0 μB per formula unit. The symmetry is Pm-3m (221). The density of states at the Fermi level comes out at 1.71 states/eV per cell.



Short version: #ii, #i, most stable first.



#i
The following is a GGA-PBE calculation of an optimized crystal structure of Tm3TlCu, from the Alexandria database.

```
Tm3TlCu
1.0
-2.5746 1.0615 4.0998
-0.6454 -7.6333 1.5711
6.0824 4.0613 2.7681
Tm Tl Cu
6 2 2
Direct
0.2500 0.8142 0.1858
0.7500 0.1858 0.8142
0.2500 0.8141 0.6285
0.7500 0.1859 0.3715
0.2500 0.3715 0.1859
0.7500 0.6285 0.8141
0.2500 0.3335 0.6665
0.7500 0.6665 0.3335
0.0000 0.0000 0.0000
0.5000 0.0000 0.0000
```

The magnetization is 0.0 μB per formula unit. The symmetry is P6_3/mmc (194). The density of states at the Fermi level comes out at 9.99 states/eV per cell.



#ii
The following is a GGA-PBE calculation of an optimized crystal structure of Tm3TlCu, from the Alexandria database.

```
Tm3TlCu
1.0
3.7012 0.0000 0.0000
0.0000 8.1634 -1.8030
0.0000 -0.2332 8.5944
Tm Tl Cu
6 2 2
Direct
0.7500 0.6915 0.4222
0.2500 0.3085 0.5778
0.7500 0.3100 0.9217
0.2500 0.9433 0.7867
0.2500 0.6900 0.0783
0.7500 0.0567 0.2133
0.2500 0.3901 0.2397
0.7500 0.6099 0.7603
0.2500 0.9397 0.4063
0.7500 0.0603 0.5937
```

The magnetization is 0.0 μB per formula unit. The symmetry is P2_1/m (11). The density of states at the Fermi level comes out at 8.93 states/eV per cell.



Short version: #ii, #i, most stable first.



#i
The following is a GGA-PBE calculation of an optimized crystal structure of TmTl2Cu, from the Alexandria database.

```
TmTl2Cu
1.0
4.1980 0.0000 0.0000
0.0000 4.6773 0.0000
0.0000 0.0000 4.6773
Tl Tm Cu
2 1 1
Direct
0.0000 0.0000 0.5000
0.0000 0.5000 0.0000
0.5000 0.5000 0.5000
0.5000 0.0000 0.0000
```

The magnetization is 0.0 μB per formula unit. The symmetry is P4/mmm (123). The density of states at the Fermi level comes out at 1.22 states/eV per cell.



#ii
The following is a GGA-PBE calculation of an optimized crystal structure of TmTl2Cu, from the Alexandria database.

```
TmTl2Cu
1.0
-3.4798 2.1438 2.0899
-3.4428 -2.4380 1.8099
0.2093 -0.3497 5.7485
Tl Tm Cu
2 1 1
Direct
0.7713 0.7713 0.6862
0.2287 0.2287 0.3138
0.0000 0.0000 0.0000
0.5000 0.5000 0.5000
```

The magnetization is 0.0 μB per formula unit. The symmetry is R-3m (166). The density of states at the Fermi level comes out at 1.51 states/eV per cell.



Short version: #i, #ii, most stable first.



#i
The following is a GGA-PBE calculation of an optimized crystal structure of Tl2VCu2, from the Alexandria database.

```
Tl2VCu2
1.0
-3.4061 5.5866 -2.6746
-6.1776 -2.8439 1.9271
0.2379 1.7382 3.3277
Tl Cu V
4 4 2
Direct
0.1794 0.6794 0.5000
0.6794 0.8206 0.5000
0.8206 0.3206 0.5000
0.3206 0.1794 0.5000
0.3768 0.8768 0.0000
0.8768 0.6232 0.0000
0.6232 0.1232 0.0000
0.1232 0.3768 0.0000
0.0000 0.0000 0.0000
0.5000 0.5000 0.0000
```

The magnetization is 3.0 μB per formula unit. The symmetry is P4/mbm (127). The density of states at the Fermi level comes out at 9.63 states/eV per cell.



#ii
The following is a GGA-PBE calculation of an optimized crystal structure of Tl2VCu2, from the Alexandria database.

```
Tl2VCu2
1.0
5.1470 0.0000 0.0000
0.0000 5.1470 0.0000
2.5735 2.5735 3.8553
Tl Cu V
2 2 1
Direct
0.7500 0.2500 0.5000
0.2500 0.7500 0.5000
0.3480 0.3480 0.3039
0.6520 0.6520 0.6961
0.0000 0.0000 0.0000
```

The magnetization is 3.3 μB per formula unit. The symmetry is I4/mmm (139). The density of states at the Fermi level comes out at 3.98 states/eV per cell.



Short version: #i, #ii, most stable first.



#i
The following is a GGA-PBE calculation of an optimized crystal structure of Tl2VCu, from the Alexandria database.

```
Tl2VCu
1.0
-4.6314 -1.1551 0.5753
-3.0403 3.1635 1.9658
-3.3594 2.1118 -2.7147
Tl Cu V
2 1 1
Direct
0.2500 0.2500 0.2500
0.7500 0.7500 0.7500
0.5000 0.5000 0.5000
0.0000 0.0000 0.0000
```

The magnetization is 2.8 μB per formula unit. The symmetry is Fm-3m (225). The density of states at the Fermi level comes out at 3.17 states/eV per cell.



#ii
The following is a GGA-PBE calculation of an optimized crystal structure of Tl2VCu, from the Alexandria database.

```
Tl2VCu
1.0
-3.0723 6.0250 -3.3506
2.5795 -2.3971 -6.6758
-2.8150 0.2621 -5.4484
Tl Cu V
4 2 2
Direct
0.6482 0.1250 0.2500
0.1018 0.6250 0.2500
0.3750 0.3518 0.7500
0.8750 0.8982 0.7500
0.0000 0.0000 0.0000
0.7500 0.2500 0.5000
0.5000 0.5000 0.0000
0.2500 0.7500 0.5000
```

The magnetization is 2.7 μB per formula unit. The symmetry is I-42d (122). The density of states at the Fermi level comes out at 6.97 states/eV per cell.



Short version: #i, #ii, most stable first.



#i
The following is a GGA-PBE calculation of an optimized crystal structure of TlV3Cu, from the Alexandria database.

```
TlV3Cu
1.0
-3.8447 1.3880 1.8000
0.7143 -2.6199 3.5460
2.1578 3.3403 2.0333
Tl Cu V
1 1 3
Direct
0.5000 0.5000 0.5000
0.0000 0.0000 0.0000
0.0000 0.5000 0.0000
0.0000 0.0000 0.5000
0.5000 0.0000 0.0000
```

The magnetization is 1.5 μB per formula unit. The symmetry is Pm-3m (221). The density of states at the Fermi level comes out at 6.24 states/eV per cell.



#ii
The following is a GGA-PBE calculation of an optimized crystal structure of TlV3Cu, from the Alexandria database.

```
TlV3Cu
1.0
5.0920 0.0000 0.0000
0.0000 5.0920 0.0000
0.0000 0.0000 5.0920
Tl Cu V
1 1 3
Direct
0.0000 0.0000 0.0000
0.5000 0.5000 0.5000
0.0000 0.5000 0.0000
0.0000 0.0000 0.5000
0.5000 0.0000 0.0000
```

The magnetization is 9.0 μB per formula unit. The symmetry is Pm-3m (221). The density of states at the Fermi level comes out at 12.62 states/eV per cell.



Short version: #i, #ii, most stable first.